[1]
First-principles (PBE-GGA) data for a relaxed Ho3TlHS crystal, as listed in Alexandria via LeMat-Bulk.

Crystal system: monoclinic
Calculated density, g/cm3: 8.95
Total DFT energy (no corrections), eV/atom: -4.84
Total magnetic moment, μB/f.u.: 0.000

Lattice parameters (Å, degrees): 8.1998 3.9413 8.5914 90.00 101.95 90.00
Closest atoms and distances in Å follow each position.
Space group P2_1/m (No. 11)
Symmetry-distinct sites (fractional):
Ho 0.0641 0.2500 0.3249  3 S 2.72
Ho 0.3187 0.2500 0.9597  3 H 2.24-2.26
Ho 0.3813 0.7500 0.6256  1 H 2.29
Tl 0.3251 0.7500 0.2461  7 Ho 3.09-3.20, 3 H 3.24-3.31
H 0.4172 0.7500 0.8975  4 Ho 2.24-2.29
S 0.1568 0.2500 0.6476  6 Ho 2.72-2.73

[2]
First-principles (PBE-GGA) data for a relaxed Pa4Te3Pt crystal, as listed in Alexandria via LeMat-Bulk.

ΔE_f (raw), eV per atom: -0.675
Crystal system: monoclinic
Calculated density, g/cm3: 11.07
Total DFT energy (no corrections), eV/atom: -7.36
Total magnetic moment, μB/f.u.: 1.624

Lattice parameters (Å, degrees): 7.5360 8.6137 7.3622 90.00 109.42 90.00
Closest atoms and distances in Å follow each position.
Space group P2/c (No. 13)
Symmetry-distinct sites (fractional):
Pa 0.2213 0.1088 0.0043  2 Pt 2.84-2.87, 2 Te 3.05-3.06
Pa 0.2305 0.3606 0.4806  1 Pt 2.85, 4 Te 3.04-3.05
Te 0.0000 0.3713 0.7500  6 Pa 3.04-3.05
Te 0.5000 0.1298 0.7500  6 Pa 3.05-3.25
Te 0.5000 0.3788 0.2500  6 Pa 3.05-3.25
Pt 0.0000 0.1236 0.2500  6 Pa 2.84-2.87

[3]
First-principles (PBE-GGA) data for a relaxed Os2RhCl crystal, as listed in Alexandria via LeMat-Bulk.

ΔE_f (raw), eV per atom: 0.635
Crystal system: monoclinic
Calculated density, g/cm3: 12.15
Total DFT energy (no corrections), eV/atom: -7.28
Total magnetic moment, μB/f.u.: 0.000

Lattice parameters (Å, degrees): 6.7745 2.8060 8.0092 90.00 111.34 90.00
Closest atoms and distances in Å follow each position.
Space group Cm (No. 8)
Symmetry-distinct sites (fractional):
Os 0.0000 0.0000 0.0000  3 Os 2.34-2.56, 1 Rh 2.55
Os 0.1845 0.0000 0.8028  3 Os 2.34-2.56, 2 Cl 2.55
Rh 0.3194 0.5000 0.2293  3 Os 2.55-2.67, 2 Cl 2.63, 2 Rh 2.81
Cl 0.0055 0.5000 0.5220  2 Os 2.55, 2 Rh 2.63, 2 Cl 2.81

[4]
First-principles (PBE-GGA) data for a relaxed GeSbTePd crystal, as listed in Alexandria via LeMat-Bulk.

ΔE_f (raw), eV per atom: -0.087
Crystal system: monoclinic
Calculated density, g/cm3: 7.71
Total DFT energy (no corrections), eV/atom: -4.36
Total magnetic moment, μB/f.u.: 0.000

Lattice parameters (Å, degrees): 6.0324 5.6830 5.5256 90.00 103.05 90.00
Closest atoms and distances in Å follow each position.
Space group Cm (No. 8)
Symmetry-distinct sites (fractional):
Ge 0.0000 0.0000 0.0000  1 Pd 2.67, 3 Te 2.82-2.89, 2 Sb 2.95-2.96
Sb 0.1797 0.0000 0.5451  4 Pd 2.86-3.19, 2 Ge 2.95-2.96
Te 0.0573 0.5000 0.0895  2 Pd 2.71-2.95, 3 Ge 2.82-2.89
Pd 0.1628 0.5000 0.5935  1 Ge 2.67, 2 Te 2.71-2.95, 3 Sb 2.86-2.87